This record from Alexandria describes crystalline Ti5Ru6W at its relaxed geometry. The functional is GGA-PBE.

Structure (extended XYZ):
```
12
Lattice="-2.1814 3.0796 6.5714 2.1814 -3.0796 6.5714 2.1814 3.0796 -6.5714" Properties=species:S:1:pos:R:3 pbc="T T T"
Ti 0.0000 0.0000 0.0000
Ti 2.1814 0.0000 2.2119
Ti 0.0000 0.0000 4.4149
Ti 0.0000 0.0000 8.7278
Ti 0.0000 3.0796 4.3594
Ru 2.1814 -1.5471 4.3778
Ru 2.1814 1.5167 0.0000
Ru 0.0000 1.5325 2.1936
Ru 2.1814 1.5471 4.3778
Ru 0.0000 1.5629 6.5714
Ru 0.0000 4.6267 2.1936
W 0.0000 3.0796 0.0000
```

## Properties
Fermi-level density of states, states/eV per cell: 5.71
Symmetry: Immm (71)
Uncorrected energy, eV per atom: -9.597

This record from Alexandria describes crystalline RhSe at its relaxed geometry. The functional is GGA-PBE.

Structure (extended XYZ):
```
12
Lattice="6.8386 0.0000 0.0000 0.0000 6.8386 0.0000 0.0000 0.0000 6.8386" Properties=species:S:1:pos:R:3 pbc="T T T"
Rh 0.0000 1.7096 3.4193
Rh 0.0000 5.1289 3.4193
Rh 1.7096 3.4193 0.0000
Rh 3.4193 0.0000 1.7096
Rh 3.4193 0.0000 5.1289
Rh 5.1289 3.4193 0.0000
Se 0.0000 3.4193 1.7096
Se 0.0000 3.4193 5.1289
Se 1.7096 0.0000 3.4193
Se 3.4193 1.7096 0.0000
Se 3.4193 5.1289 0.0000
Se 5.1289 0.0000 3.4193
```

## Properties
Fermi-level density of states, states/eV per cell: 16.46
Symmetry: Pm-3n (223)
Raw formation energy, meV per atom: 35

This record from Alexandria describes crystalline CsBa3Cl at its relaxed geometry. The functional is GGA-PBE.

Structure (extended XYZ):
```
5
Lattice="6.6371 0.0000 0.0000 0.0000 6.6371 0.0000 0.0000 0.0000 6.6371" Properties=species:S:1:pos:R:3 pbc="T T T"
Cs 0.0000 0.0000 0.0000
Ba 0.0000 3.3185 3.3185
Ba 3.3185 0.0000 3.3185
Ba 3.3185 3.3185 0.0000
Cl 3.3185 3.3185 3.3185
```

## Properties
Fermi-level density of states, states/eV per cell: 7.91
Symmetry: Pm-3m (221)
Raw formation energy, meV per atom: -526
Energy relative to the lowest polymorph listed for this composition, eV/f.u.: 0.00

Which value of Fermi-level density of states does entry 3 give? 7.91 states/eV per cell

Among the records above, which one has the lowest Fermi-level density of states? Ti5Ru6W

The highest Fermi-level density of states belongs to which entry? RhSe